VASP calculation (PBE) on a relaxed BOs crystal.

Summary:
- calculated formation energy (eV per formula unit) = 1.06
- theoretical density (kg/m3) = 13733
- magnetization (μB per formula unit) = 0.0

Structure (CIF):
```
data_BOs
_chemical_formula_sum 'B2 Os2'
_symmetry_space_group_name_H-M 'P 63 m c'
_symmetry_Int_Tables_number 186
_symmetry_space_group_name_Hall 'P 6c -2c'
_cell_length_a 2.9073
_cell_length_b 2.9073
_cell_length_c 6.6421
_cell_angle_alpha 90.00
_cell_angle_beta 90.00
_cell_angle_gamma 120.00
loop_
_atom_site_label
_atom_site_type_symbol
_atom_site_fract_x
_atom_site_fract_y
_atom_site_fract_z
B1 B 0.3333 0.6667 0.0000
Os1 Os 0.3333 0.6667 0.3083
```